No. 1
Computed, not measured: crystalline NbPdAu3 at its relaxed geometry at the PBE level of DFT.

The formation energy from the elements comes out at 5.797 eV per formula unit. The value obtained for the density of states at the Fermi level is 4.45 states/eV/f.u. The calculation puts the energy above the most stable polymorph in this dataset at 1142 meV/atom.

The space group is Pm-3m (No. 221) and the conventional cell measures 5.0780, 5.0780 and 5.0780 Å, with angles of 90.00, 90.00 and 90.00 degrees. The asymmetric unit holds Nb at (0.0000, 0.0000, 0.0000), Pd at (0.5000, 0.5000, 0.5000) and Au at (0.0000, 0.0000, 0.5000).

---

No. 2
Computed, not measured: crystalline NbPd3Au at its relaxed geometry at the PBE level of DFT.

The formation energy from the elements comes out at -0.383 eV per formula unit. The value obtained for the density of states at the Fermi level is 3.15 states/eV/f.u. The calculation puts the energy above the most stable polymorph in this dataset at 177 meV/atom.

The space group is Pmmn (No. 59, origin choice 2) and the conventional cell measures 2.8014, 8.7244 and 7.5386 Å, with angles of 90.00, 90.00 and 90.00 degrees. The asymmetric unit holds Nb at (0.2500, 0.2500, 0.0100), Pd at (0.2500, 0.5173, 0.8290), Pd at (0.2500, 0.7500, 0.2987) and Au at (0.2500, 0.2500, 0.3822).

---

No. 3
Computed, not measured: crystalline NbPd2Au at its relaxed geometry at the PBE level of DFT.

The formation energy from the elements comes out at -1.022 eV per formula unit. The value obtained for the density of states at the Fermi level is 2.38 states/eV/f.u. The calculation puts the energy above the most stable polymorph in this dataset at 69 meV/atom.

The space group is Pmm2 (No. 25) and the conventional cell measures 2.9131, 4.0709 and 5.5527 Å, with angles of 90.00, 90.00 and 90.00 degrees. The asymmetric unit holds Nb at (0.0000, 0.0000, 0.0000), Pd at (0.0000, 0.0000, 0.5143), Pd at (0.5000, 0.5000, 0.7662) and Au at (0.5000, 0.5000, 0.2643).

---

No. 4
Computed, not measured: crystalline Nb2Pd3Au2 at its relaxed geometry at the PBE level of DFT.

The formation energy from the elements comes out at 0.917 eV per formula unit. The value obtained for the density of states at the Fermi level is 6.40 states/eV/f.u. The calculation puts the energy above the most stable polymorph in this dataset at 290 meV/atom.

The space group is I2_13 (No. 199) and the conventional cell measures 7.9552, 7.9552 and 7.9552 Å, with angles of 90.00, 90.00 and 90.00 degrees. The asymmetric unit holds Nb at (0.1929, 0.1929, 0.1929), Pd at (0.0000, 0.2500, 0.9189) and Au at (0.0955, 0.4045, 0.5955).

---

No. 5
Computed, not measured: crystalline NbPd2Au3 at its relaxed geometry at the PBE level of DFT.

The formation energy from the elements comes out at -0.362 eV per formula unit. The value obtained for the density of states at the Fermi level is 3.71 states/eV/f.u. The calculation puts the energy above the most stable polymorph in this dataset at 7 meV/atom.

The space group is C2/m (No. 12) and the conventional cell measures 5.4006, 13.8515 and 5.7391 Å, with angles of 90.00, 102.97 and 90.00 degrees. The asymmetric unit holds Nb at (0.2365, 0.0000, 0.1701), Pd at (0.0000, 0.3589, 0.0000), Pd at (0.0000, 0.3588, 0.5000), Au at (0.0012, 0.1809, 0.2488) and Au at (0.2261, 0.0000, 0.6726).

---

No. 6
Computed, not measured: crystalline NbPdAu4 at its relaxed geometry at the PBE level of DFT.

The formation energy from the elements comes out at -0.227 eV per formula unit. The value obtained for the density of states at the Fermi level is 3.43 states/eV/f.u.

The space group is C2/c (No. 15) and the conventional cell measures 8.5038, 10.9198 and 5.3502 Å, with angles of 90.00, 120.79 and 90.00 degrees. The asymmetric unit holds Nb at (0.0000, 0.1800, 0.2500), Pd at (0.0000, 0.0658, 0.7500), Au at (0.1716, 0.3216, 0.7538) and Au at (0.1739, 0.4195, 0.2650).

---

No. 7
Computed, not measured: crystalline NbPd2Au8 at its relaxed geometry at the PBE level of DFT.

The formation energy from the elements comes out at 0.249 eV per formula unit. The value obtained for the density of states at the Fermi level is 4.22 states/eV/f.u.

The space group is Cmmm (No. 65) and the conventional cell measures 8.4078, 11.1915 and 4.3075 Å, with angles of 90.00, 90.00 and 90.00 degrees. The asymmetric unit holds Nb at (0.0000, 0.0000, 0.0000), Pd at (0.0000, 0.3805, 0.5000), Au at (0.0000, 0.2430, 0.0000), Au at (0.1695, 0.1297, 0.5000) and Au at (0.1697, 0.5000, 0.0000).

---

No. 8
Computed, not measured: crystalline Nb5Pd4Au2 at its relaxed geometry at the PBE level of DFT.

The formation energy from the elements comes out at 3.549 eV per formula unit. The value obtained for the density of states at the Fermi level is 9.14 states/eV/f.u.

The space group is Fmmm (No. 69) and the conventional cell measures 5.4307, 8.4616 and 18.3053 Å, with angles of 90.00, 90.00 and 90.00 degrees. The asymmetric unit holds Nb at (0.0000, 0.0000, 0.0000), Nb at (0.2500, 0.2500, 0.0000), Nb at (0.2500, 0.2500, 0.2500), Pd at (0.0000, 0.1586, 0.1306) and Au at (0.0000, 0.0000, 0.3431).

---

No. 9
Computed, not measured: crystalline NbPd5Au at its relaxed geometry at the PBE level of DFT.

The formation energy from the elements comes out at 0.767 eV per formula unit. The value obtained for the density of states at the Fermi level is 3.81 states/eV/f.u. The calculation puts the energy above the most stable polymorph in this dataset at 191 meV/atom.

The space group is C2/c (No. 15) and the conventional cell measures 8.7184, 9.8333 and 6.6429 Å, with angles of 90.00, 110.59 and 90.00 degrees. The asymmetric unit holds Nb at (0.0000, 0.0348, 0.2500), Pd at (0.0000, 0.2854, 0.2500), Pd at (0.1081, 0.1900, 0.9574), Pd at (0.2208, 0.0809, 0.6282) and Au at (0.0000, 0.5000, 0.0000).

---

No. 10
Computed, not measured: crystalline Nb2Pd2Au at its relaxed geometry at the PBE level of DFT.

The formation energy from the elements comes out at -0.069 eV per formula unit. The value obtained for the density of states at the Fermi level is 2.88 states/eV/f.u. The calculation puts the energy above the most stable polymorph in this dataset at 214 meV/atom.

The space group is P4/mbm (No. 127) and the conventional cell measures 7.9422, 7.9422 and 2.8272 Å, with angles of 90.00, 90.00 and 90.00 degrees. The asymmetric unit holds Nb at (0.1198, 0.3802, 0.0000), Pd at (0.1736, 0.6736, 0.5000) and Au at (0.0000, 0.0000, 0.0000).

---

No. 11
Computed, not measured: crystalline Nb2Pd12Au5 at its relaxed geometry at the PBE level of DFT.

The formation energy from the elements comes out at 3.885 eV per formula unit. The value obtained for the density of states at the Fermi level is 18.51 states/eV/f.u.

The space group is C2/m (No. 12) and the conventional cell measures 14.9624, 5.4179 and 9.0441 Å, with angles of 90.00, 105.54 and 90.00 degrees. The asymmetric unit holds Nb at (0.0000, 0.2470, 0.0000), Pd at (0.0166, 0.0000, 0.3620), Pd at (0.0772, 0.5000, 0.2630), Pd at (0.1532, 0.2451, 0.6150), Pd at (0.1948, 0.2580, 0.1192), Au at (0.0000, 0.5000, 0.5000), Au at (0.1314, 0.0000, 0.8666) and Au at (0.1921, 0.0000, 0.3753).

---

No. 12
Computed, not measured: crystalline NbPd2Au5 at its relaxed geometry at the PBE level of DFT.

The formation energy from the elements comes out at -0.988 eV per formula unit. The value obtained for the density of states at the Fermi level is 5.09 states/eV/f.u.

The space group is Pbam (No. 55) and the conventional cell measures 5.8045, 11.6894 and 4.0589 Å, with angles of 90.00, 90.00 and 90.00 degrees. The asymmetric unit holds Nb at (0.0000, 0.0000, 0.0000), Pd at (0.2399, 0.1186, 0.5000), Au at (0.0000, 0.5000, 0.0000), Au at (0.0049, 0.2459, 0.0000) and Au at (0.2477, 0.8755, 0.5000).

---

No. 13
Computed, not measured: crystalline Nb3Pd2Au4 at its relaxed geometry at the PBE level of DFT.

The formation energy from the elements comes out at -1.849 eV per formula unit. The value obtained for the density of states at the Fermi level is 5.04 states/eV/f.u.

The space group is Cccm (No. 66) and the conventional cell measures 8.0140, 13.8956 and 5.5336 Å, with angles of 90.00, 90.00 and 90.00 degrees. The asymmetric unit holds Nb at (0.0000, 0.0000, 0.2500), Nb at (0.0000, 0.3294, 0.2500), Pd at (0.1671, 0.1676, 0.0000), Au at (0.1651, 0.1663, 0.5000) and Au at (0.1675, 0.4984, 0.0000).

---

No. 14
Computed, not measured: crystalline Nb5PdAu4 at its relaxed geometry at the PBE level of DFT.

The formation energy from the elements comes out at -1.347 eV per formula unit. The value obtained for the density of states at the Fermi level is 7.82 states/eV/f.u.

The space group is P4/mmm (No. 123) and the conventional cell measures 2.8958, 2.8958 and 20.9043 Å, with angles of 90.00, 90.00 and 90.00 degrees. The asymmetric unit holds Nb at (0.0000, 0.0000, 0.0000), Nb at (0.0000, 0.0000, 0.2017), Nb at (0.0000, 0.0000, 0.4036), Pd at (0.5000, 0.5000, 0.5000), Au at (0.5000, 0.5000, 0.1009) and Au at (0.5000, 0.5000, 0.3024).

---

No. 15
Computed, not measured: crystalline NbPd8Au2 at its relaxed geometry at the PBE level of DFT.

The formation energy from the elements comes out at -0.689 eV per formula unit. The value obtained for the density of states at the Fermi level is 10.79 states/eV/f.u. The calculation puts the energy above the most stable polymorph in this dataset at 0 meV/atom.

The space group is Cmmm (No. 65) and the conventional cell measures 8.1630, 10.9088 and 4.2320 Å, with angles of 90.00, 90.00 and 90.00 degrees. The asymmetric unit holds Nb at (0.0000, 0.0000, 0.0000), Pd at (0.0000, 0.2348, 0.0000), Pd at (0.1666, 0.1286, 0.5000), Pd at (0.1750, 0.5000, 0.0000) and Au at (0.0000, 0.3762, 0.5000).

---

No. 16
Computed, not measured: crystalline NbPdAu3 at its relaxed geometry at the PBE level of DFT.

The formation energy from the elements comes out at 0.085 eV per formula unit. The value obtained for the density of states at the Fermi level is 3.70 states/eV/f.u. The calculation puts the energy above the most stable polymorph in this dataset at 0 meV/atom.

The space group is Ama2 (No. 40) and the conventional cell measures 4.5833, 15.7169 and 5.5302 Å, with angles of 90.00, 90.00 and 90.00 degrees. The asymmetric unit holds Nb at (0.2500, 0.2156, 0.0000), Pd at (0.2500, 0.3629, 0.7357), Au at (0.2500, 0.0450, 0.0474), Au at (0.2500, 0.1833, 0.5019) and Au at (0.2500, 0.3761, 0.2526).

---

No. 17
Computed, not measured: crystalline NbPd2Au2 at its relaxed geometry at the PBE level of DFT.

The formation energy from the elements comes out at -0.857 eV per formula unit. The value obtained for the density of states at the Fermi level is 2.42 states/eV/f.u. The calculation puts the energy above the most stable polymorph in this dataset at 0 meV/atom.

The space group is C2/c (No. 15) and the conventional cell measures 13.8297, 4.7987 and 5.5373 Å, with angles of 90.00, 109.70 and 90.00 degrees. The asymmetric unit holds Nb at (0.0000, 0.0743, 0.2500), Pd at (0.0901, 0.4184, 0.6856) and Au at (0.1910, 0.0809, 0.1235).

---

No. 18
Computed, not measured: crystalline Nb2PdAu2 at its relaxed geometry at the PBE level of DFT.

The formation energy from the elements comes out at -0.710 eV per formula unit. The value obtained for the density of states at the Fermi level is 3.97 states/eV/f.u. The calculation puts the energy above the most stable polymorph in this dataset at 0 meV/atom.

The space group is Cmmm (No. 65) and the conventional cell measures 4.4137, 14.0042 and 2.8058 Å, with angles of 90.00, 90.00 and 90.00 degrees. The asymmetric unit holds Nb at (0.0000, 0.1019, 0.0000), Pd at (0.0000, 0.5000, 0.5000) and Au at (0.0000, 0.3064, 0.5000).

---

No. 19
Computed, not measured: crystalline NbPd2Au at its relaxed geometry at the PBE level of DFT.

The formation energy from the elements comes out at -0.915 eV per formula unit. The value obtained for the density of states at the Fermi level is 2.59 states/eV/f.u. The calculation puts the energy above the most stable polymorph in this dataset at 96 meV/atom.

The space group is Cm (No. 8) and the conventional cell measures 9.5111, 2.8901 and 4.8744 Å, with angles of 90.00, 100.33 and 90.00 degrees. The asymmetric unit holds Nb at (0.0000, 0.0000, 0.0000), Pd at (0.0032, 0.5000, 0.5094), Pd at (0.2522, 0.0000, 0.7704) and Au at (0.2522, 0.5000, 0.2656).

---

No. 20
Computed, not measured: crystalline NbPd2Au at its relaxed geometry at the PBE level of DFT.

The formation energy from the elements comes out at -1.110 eV per formula unit. The value obtained for the density of states at the Fermi level is 2.26 states/eV/f.u. The calculation puts the energy above the most stable polymorph in this dataset at 47 meV/atom.

The space group is Pmmm (No. 47) and the conventional cell measures 2.9210, 3.9385 and 5.7431 Å, with angles of 90.00, 90.00 and 90.00 degrees. The asymmetric unit holds Nb at (0.0000, 0.0000, 0.0000), Pd at (0.5000, 0.5000, 0.2420) and Au at (0.0000, 0.0000, 0.5000).

---

No. 21
Computed, not measured: crystalline Nb2Pd4Au3 at its relaxed geometry at the PBE level of DFT.

The formation energy from the elements comes out at -2.693 eV per formula unit. The value obtained for the density of states at the Fermi level is 3.23 states/eV/f.u. The calculation puts the energy above the most stable polymorph in this dataset at 0 meV/atom.

The space group is C2/m (No. 12) and the conventional cell measures 8.9933, 3.9919 and 8.6807 Å, with angles of 90.00, 107.61 and 90.00 degrees. The asymmetric unit holds Nb at (0.1691, 0.0000, 0.2227), Pd at (0.0008, 0.5000, 0.6769), Pd at (0.1681, 0.0000, 0.8924), Au at (0.0000, 0.5000, 0.0000) and Au at (0.1688, 0.0000, 0.5597).

---

No. 22
Computed, not measured: crystalline NbPdAu3 at its relaxed geometry at the PBE level of DFT.

The formation energy from the elements comes out at 5.471 eV per formula unit. The value obtained for the density of states at the Fermi level is 4.24 states/eV/f.u. The calculation puts the energy above the most stable polymorph in this dataset at 1077 meV/atom.

The space group is Pm-3m (No. 221) and the conventional cell measures 4.9562, 4.9562 and 4.9562 Å, with angles of 90.00, 90.00 and 90.00 degrees. The asymmetric unit holds Nb at (0.0000, 0.0000, 0.0000), Pd at (0.5000, 0.5000, 0.5000) and Au at (0.0000, 0.5000, 0.5000).